Entry from Alexandria via LeMat-Bulk: a relaxed V2SO3 crystal (GGA+U).

- Calculated total energy: -84.5 eV for the cell shown
- Density: 3.471 g/cm³
- M_tot: 0.33 μB/atom

Cell: 3.1117 6.9720 8.3785 Å, 87.65 79.30 77.11°
Closest atoms and distances in Å follow each position.
Atoms (fractional coordinates):
V: 0.3695 0.8186 0.4425  5 O 1.98-2.06
V: 0.8706 0.4003 0.8585  3 O 1.88-1.89
S: 0.3914 0.5448 0.6724  4 V 2.39-2.65
S: 0.6086 0.4552 0.3276  4 V 2.39-2.65
V: 0.1294 0.5997 0.1415  3 O 1.88-1.89
V: 0.6305 0.1814 0.5575  5 O 1.98-2.06
O: 0.9505 0.8214 0.2776  3 V 1.88-2.06
O: 0.2348 0.1093 0.4212  3 V 1.98
O: 0.0495 0.1786 0.7224  3 V 1.88-2.06
O: 0.6651 0.6513 0.0185  2 V 1.89
O: 0.7652 0.8907 0.5788  3 V 1.98
O: 0.3349 0.3487 0.9815  2 V 1.89